Here is NiAsBr2 at its PBEsol-relaxed geometry from the Alexandria database. Energies are from meta-GGA SCAN.

a = 6.8607 Å, b = 6.8607 Å, c = 6.8607 Å
α = 148.75°, β = 148.75°, γ = 44.78°
Positions (direct):
Ni: 0.0000 0.0000 0.0000
As: 0.7500 0.2500 0.5000
Br: 0.2500 0.7500 0.5000
Br: 0.5000 0.5000 0.0000

Calculated values
- N(E_F) (states/eV per cell) = 3.19
- magnetic moment (μB per formula unit) = 1.54
- crystal system = tetragonal
- formation energy from raw total energies (eV per atom) = 0.470

=====

Here is ReNiAs2Br at its PBEsol-relaxed geometry from the Alexandria database. Energies are from meta-GGA SCAN.

a = 4.5101 Å, b = 4.5101 Å, c = 4.6258 Å
α = 90.00°, β = 90.00°, γ = 90.00°
Positions (direct):
Re: 0.0000 0.0000 0.0000
Ni: 0.5000 0.5000 0.5000
As: 0.0000 0.5000 0.5000
As: 0.5000 0.0000 0.5000
Br: 0.5000 0.5000 0.0000

Calculated values
- N(E_F) (states/eV per cell) = 2.92
- magnetic moment (μB per formula unit) = 3.20
- crystal system = tetragonal
- formation energy from raw total energies (eV per atom) = 1.282

=====

Here is NiAsRuBr2 at its PBEsol-relaxed geometry from the Alexandria database. Energies are from meta-GGA SCAN.

a = 4.7484 Å, b = 4.7484 Å, c = 4.5238 Å
α = 90.00°, β = 90.00°, γ = 90.00°
Positions (direct):
Ni: 0.0000 0.0000 0.0000
As: 0.0000 0.0000 0.5000
Ru: 0.5000 0.5000 0.5000
Br: 0.0000 0.5000 0.0000
Br: 0.5000 0.0000 0.0000

Calculated values
- N(E_F) (states/eV per cell) = 3.86
- magnetic moment (μB per formula unit) = 2.82
- crystal system = tetragonal
- formation energy from raw total energies (eV per atom) = 0.889

=====

Here is NiAsSeBr2 at its PBEsol-relaxed geometry from the Alexandria database. Energies are from meta-GGA SCAN.

a = 4.6236 Å, b = 4.6236 Å, c = 4.8574 Å
α = 90.00°, β = 90.00°, γ = 90.00°
Positions (direct):
Ni: 0.0000 0.0000 0.0000
As: 0.0000 0.0000 0.5000
Se: 0.5000 0.5000 0.5000
Br: 0.0000 0.5000 0.0000
Br: 0.5000 0.0000 0.0000

Calculated values
- N(E_F) (states/eV per cell) = 3.28
- magnetic moment (μB per formula unit) = 0.00
- crystal system = tetragonal
- formation energy from raw total energies (eV per atom) = 0.410

=====

Here is TcNiAs2Br at its PBEsol-relaxed geometry from the Alexandria database. Energies are from meta-GGA SCAN.

a = 4.6224 Å, b = 4.6224 Å, c = 5.2856 Å
α = 90.00°, β = 90.00°, γ = 90.00°
Positions (direct):
Tc: 0.0000 0.0000 0.0000
Ni: 0.5000 0.5000 0.5000
As: 0.0000 0.5000 0.0000
As: 0.5000 0.0000 0.0000
Br: 0.0000 0.0000 0.5000

Calculated values
- N(E_F) (states/eV per cell) = 4.65
- magnetic moment (μB per formula unit) = 1.24
- crystal system = tetragonal
- formation energy from raw total energies (eV per atom) = 0.815

=====

Here is TiNiAsBr2 at its PBEsol-relaxed geometry from the Alexandria database. Energies are from meta-GGA SCAN.

a = 4.6524 Å, b = 4.6524 Å, c = 4.7807 Å
α = 90.00°, β = 90.00°, γ = 90.00°
Positions (direct):
Ti: 0.0000 0.0000 0.0000
Ni: 0.5000 0.5000 0.5000
As: 0.5000 0.5000 0.0000
Br: 0.0000 0.5000 0.5000
Br: 0.5000 0.0000 0.5000

Calculated values
- N(E_F) (states/eV per cell) = 3.16
- magnetic moment (μB per formula unit) = 0.95
- crystal system = tetragonal
- formation energy from raw total energies (eV per atom) = 0.251

=====

Here is TlNiAsBr2 at its PBEsol-relaxed geometry from the Alexandria database. Energies are from meta-GGA SCAN.

a = 5.1799 Å, b = 5.1799 Å, c = 4.4388 Å
α = 90.00°, β = 90.00°, γ = 90.00°
Positions (direct):
Tl: 0.0000 0.0000 0.0000
Ni: 0.5000 0.5000 0.5000
As: 0.5000 0.5000 0.0000
Br: 0.0000 0.5000 0.5000
Br: 0.5000 0.0000 0.5000

Calculated values
- N(E_F) (states/eV per cell) = 3.89
- magnetic moment (μB per formula unit) = 1.12
- crystal system = tetragonal
- formation energy from raw total energies (eV per atom) = -0.091

=====

Here is AsPBr2O at its PBEsol-relaxed geometry from the Alexandria database. Energies are from meta-GGA SCAN.

a = 4.7245 Å, b = 4.7245 Å, c = 4.1833 Å
α = 90.00°, β = 90.00°, γ = 90.00°
Positions (direct):
As: 0.0000 0.0000 0.0000
P: 0.5000 0.5000 0.0000
Br: 0.0000 0.5000 0.5000
Br: 0.5000 0.0000 0.5000
O: 0.0000 0.0000 0.5000

Calculated values
- N(E_F) (states/eV per cell) = 3.31
- magnetic moment (μB per formula unit) = 0.00
- crystal system = tetragonal
- formation energy from raw total energies (eV per atom) = 0.976

=====

Here is As3Pb5BrO12 at its PBEsol-relaxed geometry from the Alexandria database. Energies are from meta-GGA SCAN.

a = 10.3930 Å, b = 10.3930 Å, c = 7.3402 Å
α = 90.00°, β = 90.00°, γ = 120.00°
Positions (direct):
As: 0.0310 0.4111 0.2500
As: 0.3801 0.9690 0.2500
As: 0.4111 0.3801 0.7500
As: 0.5889 0.6199 0.2500
As: 0.6199 0.0310 0.7500
As: 0.9690 0.5889 0.7500
Pb: 0.0170 0.7564 0.2500
Pb: 0.2436 0.2605 0.2500
Pb: 0.2605 0.0170 0.7500
Pb: 0.3333 0.6667 0.5055
Pb: 0.3333 0.6667 0.9945
Pb: 0.6667 0.3333 0.0055
Pb: 0.6667 0.3333 0.4945
Pb: 0.7395 0.9830 0.2500
Pb: 0.7564 0.7395 0.7500
Pb: 0.9830 0.2436 0.7500
Br: 0.0000 0.0000 0.0000
Br: 0.0000 0.0000 0.5000
O: 0.0962 0.3608 0.0640
O: 0.0962 0.3608 0.4360
O: 0.1265 0.6039 0.2500
O: 0.1567 0.6594 0.7500
O: 0.2646 0.9038 0.0640
O: 0.2646 0.9038 0.4360
O: 0.3406 0.4974 0.7500
O: 0.3608 0.2646 0.5640
O: 0.3608 0.2646 0.9360
O: 0.3961 0.5226 0.2500
O: 0.4774 0.8735 0.2500
O: 0.4974 0.1567 0.2500
O: 0.5026 0.8433 0.7500
O: 0.5226 0.1265 0.7500
O: 0.6039 0.4774 0.7500
O: 0.6392 0.7354 0.0640
O: 0.6392 0.7354 0.4360
O: 0.6594 0.5026 0.2500
O: 0.7354 0.0962 0.5640
O: 0.7354 0.0962 0.9360
O: 0.8433 0.3406 0.2500
O: 0.8735 0.3961 0.7500
O: 0.9038 0.6392 0.5640
O: 0.9038 0.6392 0.9360

Calculated values
- N(E_F) (states/eV per cell) = 0.00
- magnetic moment (μB per formula unit) = 0.00
- crystal system = hexagonal
- formation energy from raw total energies (eV per atom) = -1.394

=====

Here is AsPdBr2O at its PBEsol-relaxed geometry from the Alexandria database. Energies are from meta-GGA SCAN.

a = 5.0698 Å, b = 5.0698 Å, c = 4.6953 Å
α = 90.00°, β = 90.00°, γ = 90.00°
Positions (direct):
As: 0.0000 0.0000 0.0000
Pd: 0.0000 0.0000 0.5000
Br: 0.0000 0.5000 0.5000
Br: 0.5000 0.0000 0.5000
O: 0.5000 0.5000 0.0000

Calculated values
- N(E_F) (states/eV per cell) = 4.80
- magnetic moment (μB per formula unit) = 1.61
- crystal system = tetragonal
- formation energy from raw total energies (eV per atom) = 0.662

=====

Here is Pr4AsBrO8 at its PBEsol-relaxed geometry from the Alexandria database. Energies are from meta-GGA SCAN.

a = 8.3432 Å, b = 8.3432 Å, c = 13.2419 Å
α = 90.00°, β = 90.00°, γ = 90.00°
Positions (direct):
Pr: 0.0136 0.2442 0.1676
Pr: 0.0136 0.2442 0.8324
Pr: 0.2444 0.5174 0.3316
Pr: 0.2444 0.5174 0.6684
Pr: 0.2442 0.9864 0.3324
Pr: 0.2442 0.9864 0.6676
Pr: 0.4826 0.2444 0.1684
Pr: 0.4826 0.2444 0.8316
Pr: 0.5174 0.7556 0.1684
Pr: 0.5174 0.7556 0.8316
Pr: 0.7558 0.0136 0.3324
Pr: 0.7558 0.0136 0.6676
Pr: 0.7556 0.4826 0.3316
Pr: 0.7556 0.4826 0.6684
Pr: 0.9864 0.7558 0.1676
Pr: 0.9864 0.7558 0.8324
As: 0.0439 0.2521 0.5000
As: 0.2521 0.9561 0.0000
As: 0.7479 0.0439 0.0000
As: 0.9561 0.7479 0.5000
Br: 0.2534 0.4388 0.0000
Br: 0.4388 0.7466 0.5000
Br: 0.5612 0.2534 0.5000
Br: 0.7466 0.5612 0.0000
O: 0.0000 0.0000 0.2500
O: 0.0000 0.0000 0.7500
O: 0.0000 0.5000 0.2387
O: 0.0000 0.5000 0.7613
O: 0.0704 0.7482 0.3936
O: 0.0704 0.7482 0.6064
O: 0.0848 0.8342 0.0000
O: 0.1658 0.0848 0.5000
O: 0.1658 0.4193 0.5000
O: 0.2489 0.2559 0.2701
O: 0.2489 0.2559 0.7299
O: 0.2518 0.0704 0.1064
O: 0.2518 0.0704 0.8936
O: 0.2559 0.7511 0.2299
O: 0.2559 0.7511 0.7701
O: 0.4193 0.8342 0.0000
O: 0.5000 0.0000 0.2613
O: 0.5000 0.0000 0.7387
O: 0.5000 0.5000 0.2500
O: 0.5000 0.5000 0.7500
O: 0.5807 0.1658 0.0000
O: 0.7441 0.2489 0.2299
O: 0.7441 0.2489 0.7701
O: 0.7482 0.9296 0.1064
O: 0.7482 0.9296 0.8936
O: 0.7511 0.7441 0.2701
O: 0.7511 0.7441 0.7299
O: 0.8342 0.5807 0.5000
O: 0.8342 0.9152 0.5000
O: 0.9152 0.1658 0.0000
O: 0.9296 0.2518 0.3936
O: 0.9296 0.2518 0.6064

Calculated values
- N(E_F) (states/eV per cell) = 0.00
- magnetic moment (μB per formula unit) = 0.00
- crystal system = tetragonal
- formation energy from raw total energies (eV per atom) = -3.133

=====

Here is As2RhBrO at its PBEsol-relaxed geometry from the Alexandria database. Energies are from meta-GGA SCAN.

a = 4.6278 Å, b = 4.6278 Å, c = 5.1697 Å
α = 90.00°, β = 90.00°, γ = 90.00°
Positions (direct):
As: 0.0000 0.5000 0.0000
As: 0.5000 0.0000 0.0000
Rh: 0.0000 0.0000 0.0000
Br: 0.0000 0.0000 0.5000
O: 0.5000 0.5000 0.5000

Calculated values
- N(E_F) (states/eV per cell) = 4.46
- magnetic moment (μB per formula unit) = 1.95
- crystal system = tetragonal
- formation energy from raw total energies (eV per atom) = 0.753

=====

Here is As2SeBrO at its PBEsol-relaxed geometry from the Alexandria database. Energies are from meta-GGA SCAN.

a = 5.1041 Å, b = 5.1041 Å, c = 5.0506 Å
α = 90.00°, β = 90.00°, γ = 90.00°
Positions (direct):
As: 0.0000 0.5000 0.0000
As: 0.5000 0.0000 0.0000
Se: 0.0000 0.0000 0.5000
Br: 0.0000 0.0000 0.0000
O: 0.5000 0.5000 0.5000

Calculated values
- N(E_F) (states/eV per cell) = 4.00
- magnetic moment (μB per formula unit) = 3.98
- crystal system = tetragonal
- formation energy from raw total energies (eV per atom) = 1.667

=====

Here is As2SeBrO at its PBEsol-relaxed geometry from the Alexandria database. Energies are from meta-GGA SCAN.

a = 4.5803 Å, b = 4.5803 Å, c = 4.3607 Å
α = 90.00°, β = 90.00°, γ = 90.00°
Positions (direct):
As: 0.0000 0.5000 0.0000
As: 0.5000 0.0000 0.0000
Se: 0.0000 0.0000 0.5000
Br: 0.5000 0.5000 0.5000
O: 0.0000 0.0000 0.0000

Calculated values
- N(E_F) (states/eV per cell) = 3.31
- magnetic moment (μB per formula unit) = 0.00
- crystal system = tetragonal
- formation energy from raw total energies (eV per atom) = 0.684

=====

Here is ZnAsBr2O at its PBEsol-relaxed geometry from the Alexandria database. Energies are from meta-GGA SCAN.

a = 4.9474 Å, b = 4.9474 Å, c = 4.9325 Å
α = 90.00°, β = 90.00°, γ = 90.00°
Positions (direct):
Zn: 0.0000 0.0000 0.0000
As: 0.0000 0.0000 0.5000
Br: 0.0000 0.5000 0.0000
Br: 0.5000 0.0000 0.0000
O: 0.5000 0.5000 0.5000

Calculated values
- N(E_F) (states/eV per cell) = 2.93
- magnetic moment (μB per formula unit) = 0.64
- crystal system = tetragonal
- formation energy from raw total energies (eV per atom) = 0.646

=====

Here is AsOs2Br at its PBEsol-relaxed geometry from the Alexandria database. Energies are from meta-GGA SCAN.

a = 4.4049 Å, b = 4.4049 Å, c = 4.4049 Å
α = 60.00°, β = 60.00°, γ = 60.00°
Positions (direct):
As: 0.0000 0.0000 0.0000
Os: 0.2500 0.2500 0.2500
Os: 0.7500 0.7500 0.7500
Br: 0.5000 0.5000 0.5000

Calculated values
- N(E_F) (states/eV per cell) = 2.68
- magnetic moment (μB per formula unit) = 0.00
- crystal system = cubic
- formation energy from raw total energies (eV per atom) = 1.286

=====

Here is As4OsBr at its PBEsol-relaxed geometry from the Alexandria database. Energies are from meta-GGA SCAN.

a = 5.4154 Å, b = 5.4154 Å, c = 5.4154 Å
α = 60.00°, β = 60.00°, γ = 60.00°
Positions (direct):
As: 0.1252 0.1252 0.1252
As: 0.1252 0.1252 0.6244
As: 0.1252 0.6244 0.1252
As: 0.6244 0.1252 0.1252
Os: 0.5000 0.5000 0.5000
Br: 0.7500 0.7500 0.7500

Calculated values
- N(E_F) (states/eV per cell) = 5.57
- magnetic moment (μB per formula unit) = 1.90
- crystal system = cubic
- formation energy from raw total energies (eV per atom) = 1.230

=====

Here is AsOs2Br at its PBEsol-relaxed geometry from the Alexandria database. Energies are from meta-GGA SCAN.

a = 3.0570 Å, b = 3.0570 Å, c = 6.6594 Å
α = 90.00°, β = 90.00°, γ = 90.00°
Positions (direct):
As: 0.0000 0.0000 0.0000
Os: 0.5000 0.5000 0.2084
Os: 0.5000 0.5000 0.7916
Br: 0.0000 0.0000 0.5000

Calculated values
- N(E_F) (states/eV per cell) = 2.83
- magnetic moment (μB per formula unit) = 0.00
- crystal system = tetragonal
- formation energy from raw total energies (eV per atom) = 1.053

=====

Here is AsOs2Br at its PBEsol-relaxed geometry from the Alexandria database. Energies are from meta-GGA SCAN.

a = 9.6013 Å, b = 9.6013 Å, c = 9.6013 Å
α = 17.41°, β = 17.41°, γ = 17.41°
Positions (direct):
As: 0.0000 0.0000 0.0000
Os: 0.4746 0.4746 0.4746
Os: 0.7352 0.7352 0.7352
Br: 0.2148 0.2148 0.2148

Calculated values
- N(E_F) (states/eV per cell) = 3.25
- magnetic moment (μB per formula unit) = 0.00
- crystal system = trigonal
- formation energy from raw total energies (eV per atom) = 0.606

=====

Here is As2POsBr at its PBEsol-relaxed geometry from the Alexandria database. Energies are from meta-GGA SCAN.

a = 4.6488 Å, b = 4.6488 Å, c = 5.1697 Å
α = 90.00°, β = 90.00°, γ = 90.00°
Positions (direct):
As: 0.0000 0.5000 0.0000
As: 0.5000 0.0000 0.0000
P: 0.0000 0.0000 0.5000
Os: 0.5000 0.5000 0.0000
Br: 0.5000 0.5000 0.5000

Calculated values
- N(E_F) (states/eV per cell) = 4.36
- magnetic moment (μB per formula unit) = 0.00
- crystal system = tetragonal
- formation energy from raw total energies (eV per atom) = 1.003